1.
Be2CuSnBi after structural relaxation. Source: the Alexandria database, functional PBEsol.

Properties
The value obtained for the formation energy from the elements is 0.6848 eV per atom.

```
data_Be2CuSnBi
_cell_length_a 4.348
_cell_length_b 4.348
_cell_length_c 5.253
_cell_angle_alpha 90.00
_cell_angle_beta 90.00
_cell_angle_gamma 90.00
_symmetry_space_group_name_H-M 'P 4/m m m'
_symmetry_Int_Tables_number 123
_symmetry_space_group_name_Hall '-P 4 2'
loop_
_atom_site_label
_atom_site_fract_x
_atom_site_fract_y
_atom_site_fract_z
Be1 0.000 0.500 0.000
Cu1 0.000 0.000 0.000
Sn1 0.500 0.500 0.500
Bi1 0.000 0.000 0.500
```

=====

2.
BeBiNF2 after structural relaxation. Source: the Alexandria database, functional PBEsol.

Properties
The value obtained for the uncorrected formation energy is -0.8 kJ/mol of atoms.

```
data_BeBiNF2
_cell_length_a 4.415
_cell_length_b 4.415
_cell_length_c 4.506
_cell_angle_alpha 90.00
_cell_angle_beta 90.00
_cell_angle_gamma 90.00
_symmetry_space_group_name_H-M 'P 4/m m m'
_symmetry_Int_Tables_number 123
_symmetry_space_group_name_Hall '-P 4 2'
loop_
_atom_site_label
_atom_site_fract_x
_atom_site_fract_y
_atom_site_fract_z
Be1 0.000 0.000 0.000
Bi1 0.500 0.500 0.500
N1 0.500 0.500 0.000
F1 0.000 0.500 0.500
```

=====

3.
BeFe3Bi after structural relaxation. Source: the Alexandria database, functional PBEsol.

Properties
The value obtained for the formation energy from the elements is 0.5503 eV per atom.

```
data_BeFe3Bi
_cell_length_a 4.069
_cell_length_b 4.069
_cell_length_c 4.069
_cell_angle_alpha 90.00
_cell_angle_beta 90.00
_cell_angle_gamma 90.00
_symmetry_space_group_name_H-M 'P m -3 m'
_symmetry_Int_Tables_number 221
_symmetry_space_group_name_Hall '-P 4 2 3'
loop_
_atom_site_label
_atom_site_fract_x
_atom_site_fract_y
_atom_site_fract_z
Be1 0.000 0.000 0.000
Fe1 0.000 0.000 0.500
Bi1 0.500 0.500 0.500
```

=====

4.
BeGaFeBi2 after structural relaxation. Source: the Alexandria database, functional PBEsol.

Properties
The value obtained for the formation energy from the elements is 1.0616 eV per atom.

```
data_BeGaFeBi2
_cell_length_a 5.458
_cell_length_b 5.458
_cell_length_c 4.048
_cell_angle_alpha 90.00
_cell_angle_beta 90.00
_cell_angle_gamma 90.00
_symmetry_space_group_name_H-M 'P 4/m m m'
_symmetry_Int_Tables_number 123
_symmetry_space_group_name_Hall '-P 4 2'
loop_
_atom_site_label
_atom_site_fract_x
_atom_site_fract_y
_atom_site_fract_z
Be1 0.000 0.000 0.000
Ga1 0.000 0.000 0.500
Fe1 0.500 0.500 0.000
Bi1 0.000 0.500 0.500
```

=====

5.
BeFeNi2Bi after structural relaxation. Source: the Alexandria database, functional PBEsol.

Properties
The value obtained for the formation energy from the elements is 0.3294 eV per atom.

```
data_BeFeNi2Bi
_cell_length_a 4.014
_cell_length_b 4.014
_cell_length_c 4.081
_cell_angle_alpha 90.00
_cell_angle_beta 90.00
_cell_angle_gamma 90.00
_symmetry_space_group_name_H-M 'P 4/m m m'
_symmetry_Int_Tables_number 123
_symmetry_space_group_name_Hall '-P 4 2'
loop_
_atom_site_label
_atom_site_fract_x
_atom_site_fract_y
_atom_site_fract_z
Be1 0.000 0.000 0.000
Fe1 0.000 0.000 0.500
Ni1 0.000 0.500 0.000
Bi1 0.500 0.500 0.500
```

=====

6.
BeGaBi2 after structural relaxation. Source: the Alexandria database, functional PBEsol.

Properties
The value obtained for the formation energy from the elements is 0.4543 eV per atom.

```
data_BeGaBi2
_cell_length_a 7.114
_cell_length_b 7.114
_cell_length_c 7.114
_cell_angle_alpha 90.00
_cell_angle_beta 90.00
_cell_angle_gamma 90.00
_symmetry_space_group_name_H-M 'F m -3 m'
_symmetry_Int_Tables_number 225
_symmetry_space_group_name_Hall '-F 4 2 3'
loop_
_atom_site_label
_atom_site_fract_x
_atom_site_fract_y
_atom_site_fract_z
Be1 0.000 0.000 0.000
Ga1 0.000 0.000 0.500
Bi1 0.250 0.250 0.250
```

=====

7.
Be3GeBi after structural relaxation. Source: the Alexandria database, functional PBEsol.

Properties
The value obtained for the formation energy from the elements is 0.7712 eV per atom.

```
data_Be3GeBi
_cell_length_a 4.374
_cell_length_b 4.374
_cell_length_c 4.374
_cell_angle_alpha 90.00
_cell_angle_beta 90.00
_cell_angle_gamma 90.00
_symmetry_space_group_name_H-M 'P m -3 m'
_symmetry_Int_Tables_number 221
_symmetry_space_group_name_Hall '-P 4 2 3'
loop_
_atom_site_label
_atom_site_fract_x
_atom_site_fract_y
_atom_site_fract_z
Be1 0.000 0.000 0.500
Ge1 0.000 0.000 0.000
Bi1 0.500 0.500 0.500
```

=====

8.
BeBiH3 after structural relaxation. Source: the Alexandria database, functional PBEsol.

Properties
The calculated total energy comes out at -3.048 eV/atom.

```
data_BeBiH3
_cell_length_a 3.596
_cell_length_b 3.596
_cell_length_c 3.596
_cell_angle_alpha 90.00
_cell_angle_beta 90.00
_cell_angle_gamma 90.00
_symmetry_space_group_name_H-M 'P m -3 m'
_symmetry_Int_Tables_number 221
_symmetry_space_group_name_Hall '-P 4 2 3'
loop_
_atom_site_label
_atom_site_fract_x
_atom_site_fract_y
_atom_site_fract_z
Be1 0.000 0.000 0.000
Bi1 0.500 0.500 0.500
H1 0.000 0.000 0.500
```

=====

9.
MnBe2BiH after structural relaxation. Source: the Alexandria database, functional PBEsol.

Properties
The calculated total energy comes out at -3.728 eV/atom.

```
data_MnBe2BiH
_cell_length_a 4.875
_cell_length_b 4.875
_cell_length_c 3.616
_cell_angle_alpha 90.00
_cell_angle_beta 90.00
_cell_angle_gamma 90.00
_symmetry_space_group_name_H-M 'P 4/m m m'
_symmetry_Int_Tables_number 123
_symmetry_space_group_name_Hall '-P 4 2'
loop_
_atom_site_label
_atom_site_fract_x
_atom_site_fract_y
_atom_site_fract_z
Mn1 0.000 0.000 0.000
Be1 0.000 0.500 0.500
Bi1 0.500 0.500 0.500
H1 0.500 0.500 0.000
```

=====

10.
HfBeReBi2 after structural relaxation. Source: the Alexandria database, functional PBEsol.

Properties
The value obtained for the formation energy from the elements is 1.2442 eV per atom.

```
data_HfBeReBi2
_cell_length_a 5.203
_cell_length_b 5.203
_cell_length_c 5.018
_cell_angle_alpha 90.00
_cell_angle_beta 90.00
_cell_angle_gamma 90.00
_symmetry_space_group_name_H-M 'P 4/m m m'
_symmetry_Int_Tables_number 123
_symmetry_space_group_name_Hall '-P 4 2'
loop_
_atom_site_label
_atom_site_fract_x
_atom_site_fract_y
_atom_site_fract_z
Hf1 0.000 0.000 0.000
Be1 0.500 0.500 0.000
Re1 0.000 0.000 0.500
Bi1 0.000 0.500 0.500
```

=====

11.
Be3HgBi after structural relaxation. Source: the Alexandria database, functional PBEsol.

Properties
For the relative energy among the computed polymorphs, the calculation gives 0.547 eV per atom. The value obtained for the formation energy from the elements is 1.3646 eV per atom.

```
data_Be3HgBi
_cell_length_a 4.810
_cell_length_b 4.810
_cell_length_c 4.810
_cell_angle_alpha 90.00
_cell_angle_beta 90.00
_cell_angle_gamma 90.00
_symmetry_space_group_name_H-M 'P m -3 m'
_symmetry_Int_Tables_number 221
_symmetry_space_group_name_Hall '-P 4 2 3'
loop_
_atom_site_label
_atom_site_fract_x
_atom_site_fract_y
_atom_site_fract_z
Be1 0.000 0.000 0.500
Hg1 0.500 0.500 0.500
Bi1 0.000 0.000 0.000
```

=====

12.
Be3HgBi after structural relaxation. Source: the Alexandria database, functional PBEsol.

Properties
For the relative energy among the computed polymorphs, the calculation gives 0.000 eV per atom. The value obtained for the formation energy from the elements is 0.8177 eV per atom.

```
data_Be3HgBi
_cell_length_a 4.510
_cell_length_b 4.510
_cell_length_c 4.510
_cell_angle_alpha 90.00
_cell_angle_beta 90.00
_cell_angle_gamma 90.00
_symmetry_space_group_name_H-M 'P m -3 m'
_symmetry_Int_Tables_number 221
_symmetry_space_group_name_Hall '-P 4 2 3'
loop_
_atom_site_label
_atom_site_fract_x
_atom_site_fract_y
_atom_site_fract_z
Be1 0.000 0.000 0.500
Hg1 0.000 0.000 0.000
Bi1 0.500 0.500 0.500
```

=====

13.
Be2HgBi after structural relaxation. Source: the Alexandria database, functional PBEsol.

Properties
The value obtained for the formation energy from the elements is 0.4471 eV per atom.

```
data_Be2HgBi
_cell_length_a 4.399
_cell_length_b 4.399
_cell_length_c 16.039
_cell_angle_alpha 90.00
_cell_angle_beta 90.00
_cell_angle_gamma 90.00
_symmetry_space_group_name_H-M 'I -4 2 d'
_symmetry_Int_Tables_number 122
_symmetry_space_group_name_Hall 'I -4 2bw'
loop_
_atom_site_label
_atom_site_fract_x
_atom_site_fract_y
_atom_site_fract_z
Be1 0.122 0.250 0.125
Hg1 0.000 0.000 0.000
Bi1 0.000 0.000 0.500
```

=====

14.
ScBe2HgBi after structural relaxation. Source: the Alexandria database, functional PBEsol.

Properties
The value obtained for the formation energy from the elements is 0.5642 eV per atom.

```
data_ScBe2HgBi
_cell_length_a 4.372
_cell_length_b 4.372
_cell_length_c 5.971
_cell_angle_alpha 90.00
_cell_angle_beta 90.00
_cell_angle_gamma 90.00
_symmetry_space_group_name_H-M 'P 4/m m m'
_symmetry_Int_Tables_number 123
_symmetry_space_group_name_Hall '-P 4 2'
loop_
_atom_site_label
_atom_site_fract_x
_atom_site_fract_y
_atom_site_fract_z
Sc1 0.000 0.000 0.000
Be1 0.000 0.500 0.500
Hg1 0.500 0.500 0.500
Bi1 0.500 0.500 0.000
```